Entry 1:
Crystalline MnBAsSe2 at its relaxed geometry, computed with GGA-PBE.

Properties
ΔE to the lowest computed polymorph	0.080	eV/atom
raw formation energy	1.1917	eV per atom

The structure in CIF format:
```
data_MnBAsSe2
_chemical_formula_sum 'Mn1 B1 As1 Se2'
_cell_length_a 4.723
_cell_length_b 4.723
_cell_length_c 4.491
_cell_angle_alpha 90.00
_cell_angle_beta 90.00
_cell_angle_gamma 90.00
_space_group_name_H-M_alt 'P 1'
_space_group_IT_number 1
_space_group_name_Hall 'P 1'
loop_
_atom_site_label
_atom_site_fract_x
_atom_site_fract_y
_atom_site_fract_z
B1 0.500 0.500 0.500
Se1 0.000 0.500 0.000
Mn1 0.000 0.000 0.000
Se2 0.500 0.000 0.000
As1 0.000 0.000 0.500
```


Entry 2:
Crystalline Ca2CdRu2 at its relaxed geometry, computed with GGA-PBE.

Properties
formation enthalpy at 0 K	0.17	eV per atom

The structure in CIF format:
```
data_Ca2CdRu2
_chemical_formula_sum 'Ca2 Cd1 Ru2'
_cell_length_a 3.532
_cell_length_b 3.532
_cell_length_c 10.063
_cell_angle_alpha 79.89
_cell_angle_beta 79.89
_cell_angle_gamma 90.00
_space_group_name_H-M_alt 'P 1'
_space_group_IT_number 1
_space_group_name_Hall 'P 1'
loop_
_atom_site_label
_atom_site_fract_x
_atom_site_fract_y
_atom_site_fract_z
Cd1 0.000 0.000 0.000
Ru1 0.250 0.750 0.500
Ru2 0.750 0.250 0.500
Ca1 0.621 0.621 0.759
Ca2 0.379 0.379 0.241
```


Entry 3:
Crystalline Pr3HoHg4 at its relaxed geometry, computed with GGA-PBE.

Properties
formation enthalpy at 0 K	-0.47	eV per atom

The structure in CIF format:
```
data_Pr3HoHg4
_chemical_formula_sum 'Pr3 Ho1 Hg4'
_cell_length_a 3.799
_cell_length_b 3.799
_cell_length_c 15.506
_cell_angle_alpha 90.00
_cell_angle_beta 90.00
_cell_angle_gamma 90.00
_space_group_name_H-M_alt 'P 1'
_space_group_IT_number 1
_space_group_name_Hall 'P 1'
loop_
_atom_site_label
_atom_site_fract_x
_atom_site_fract_y
_atom_site_fract_z
Pr1 0.500 0.500 0.244
Hg1 0.000 0.000 0.888
Hg2 0.000 0.000 0.112
Pr2 0.500 0.500 0.500
Pr3 0.500 0.500 0.756
Hg3 0.000 0.000 0.373
Ho1 0.500 0.500 0.000
Hg4 0.000 0.000 0.627
```


Entry 4:
Crystalline SrTa2W at its relaxed geometry, computed with GGA-PBE.

Properties
ΔE to the lowest computed polymorph	0.294	eV/atom
formation enthalpy at 0 K	0.87	eV per atom

The structure in CIF format:
```
data_SrTa2W
_chemical_formula_sum 'Sr1 Ta2 W1'
_cell_length_a 5.003
_cell_length_b 5.003
_cell_length_c 6.572
_cell_angle_alpha 89.02
_cell_angle_beta 89.02
_cell_angle_gamma 32.46
_space_group_name_H-M_alt 'P 1'
_space_group_IT_number 1
_space_group_name_Hall 'P 1'
loop_
_atom_site_label
_atom_site_fract_x
_atom_site_fract_y
_atom_site_fract_z
W1 0.503 0.503 0.440
Sr1 0.750 0.750 0.745
Ta1 0.994 0.994 0.060
Ta2 0.253 0.253 0.255
```


Entry 5:
Crystalline KHCl2F at its relaxed geometry, computed with GGA-PBE.

Properties
total DFT energy (no corrections)	-11.25	eV/f.u.

The structure in CIF format:
```
data_KHCl2F
_chemical_formula_sum 'K1 H1 Cl2 F1'
_cell_length_a 4.836
_cell_length_b 5.082
_cell_length_c 4.836
_cell_angle_alpha 90.00
_cell_angle_beta 90.00
_cell_angle_gamma 90.00
_space_group_name_H-M_alt 'P 1'
_space_group_IT_number 1
_space_group_name_Hall 'P 1'
loop_
_atom_site_label
_atom_site_fract_x
_atom_site_fract_y
_atom_site_fract_z
H1 0.500 0.500 0.500
Cl1 0.500 0.000 0.000
Cl2 0.000 0.000 0.500
K1 0.000 0.500 0.000
F1 0.000 0.000 0.000
```


Entry 6:
Crystalline Pm6Nd2SmEr3 at its relaxed geometry, computed with GGA-PBE.

Properties
formation enthalpy at 0 K	0.02	eV per atom

The structure in CIF format:
```
data_Pm6Nd2SmEr3
_chemical_formula_sum 'Pm6 Nd2 Sm1 Er3'
_cell_length_a 6.275
_cell_length_b 6.275
_cell_length_c 11.950
_cell_angle_alpha 95.01
_cell_angle_beta 95.01
_cell_angle_gamma 120.00
_space_group_name_H-M_alt 'P 1'
_space_group_IT_number 1
_space_group_name_Hall 'P 1'
loop_
_atom_site_label
_atom_site_fract_x
_atom_site_fract_y
_atom_site_fract_z
Pm1 0.915 0.582 0.746
Er1 0.833 0.167 0.500
Pm2 0.582 0.915 0.746
Pm3 0.418 0.085 0.254
Pm4 0.752 0.752 0.254
Nd1 0.667 0.333 0.000
Er2 0.167 0.833 0.500
Nd2 0.333 0.667 0.000
Sm1 0.000 0.000 0.000
Er3 0.500 0.500 0.500
Pm5 0.248 0.248 0.746
Pm6 0.085 0.418 0.254
```